An optimized crystal structure of Te2IBrF, computed with PBE-GGA.

```
5
Lattice="-5.212 -1.739 1.896 2.458 -2.097 4.832 -0.768 5.181 2.639" Properties=species:S:1:pos:R:3 pbc="T T T"
Br 0.000 0.000 0.000
I -0.384 2.591 1.320
Te 1.229 -1.049 2.416
Te -2.606 -0.869 0.948
F -1.761 0.673 4.684
```

Summary:
DOS at the Fermi energy in states/eV/cell: 8.85
Energy in eV/atom: -1.654
Space-group type: P4/mmm (123)



An optimized crystal structure of Te2IBrF, computed with PBE-GGA.

```
5
Lattice="-3.534 -2.318 -1.878 0.103 -3.005 3.514 -5.466 4.848 4.304" Properties=species:S:1:pos:R:3 pbc="T T T"
Br -4.449 -0.237 2.970
F 0.000 0.000 0.000
Te 0.051 -1.502 1.757
I -2.733 2.424 2.152
Te -1.767 -1.159 -0.939
```

Summary:
DOS at the Fermi energy in states/eV/cell: 5.38
Energy in eV/atom: -2.208
Space-group type: P4/mmm (123)



An optimized crystal structure of Tl6IBr3F2, computed with PBE-GGA.

```
12
Lattice="-4.543 -0.526 0.035 0.196 -2.268 -8.523 3.376 -8.952 4.955" Properties=species:S:1:pos:R:3 pbc="T T T"
Br 0.537 -5.006 -5.418
I -2.272 -0.263 0.018
Tl 0.778 -6.760 -0.481
Tl -1.142 -10.131 -1.506
Br -2.173 -1.397 -4.244
F 0.489 -4.289 -0.978
F -1.460 -7.455 -2.555
Tl 0.895 -8.029 -4.339
Tl -1.866 -3.716 0.806
Tl 0.171 -1.614 -2.026
Tl -1.749 -4.984 -3.052
Br -1.508 -6.739 1.885
```

Summary:
DOS at the Fermi energy in states/eV/cell: 0.00
Energy in eV/atom: -3.114
Space-group type: C2/m (12)



An optimized crystal structure of Tl3IBrF, computed with PBE-GGA.

```
12
Lattice="4.743 0.000 0.000 0.000 8.823 0.457 0.000 -2.939 10.051" Properties=species:S:1:pos:R:3 pbc="T T T"
F 1.186 -1.234 6.246
I 3.558 4.317 7.278
Tl 3.558 8.308 2.051
F 3.558 7.118 4.262
Br 3.558 -0.208 9.380
Tl 3.558 0.043 5.641
Tl 1.186 1.956 8.283
Tl 1.186 -2.424 8.457
Tl 3.558 3.929 2.225
Tl 1.186 5.841 4.867
Br 1.186 6.092 1.128
I 1.186 1.567 3.230
```

Summary:
DOS at the Fermi energy in states/eV/cell: 0.00
Energy in eV/atom: -3.116
Space-group type: P2_1/m (11)



An optimized crystal structure of Tl8I4Br3F, computed with PBE-GGA.

```
16
Lattice="-1.890 1.149 9.340 -2.198 -9.405 0.712 8.621 2.731 -3.523" Properties=species:S:1:pos:R:3 pbc="T T T"
Tl -2.074 -1.884 7.564
I 3.365 1.940 2.908
Tl -0.993 -2.540 2.223
Tl 5.525 -2.984 4.305
Tl 2.330 -5.319 1.126
Tl 6.606 -3.641 -1.035
I 0.000 0.000 0.000
Tl 2.202 -0.206 5.403
Br 3.211 -3.337 -1.406
Br -2.044 -4.128 5.026
F -1.099 -4.703 0.356
I 4.310 1.366 -1.762
Tl 1.188 -4.698 5.750
Br 2.266 -2.762 3.264
Tl 3.344 -0.827 0.778
I -0.945 0.574 4.670
```

Summary:
DOS at the Fermi energy in states/eV/cell: 0.00
Energy in eV/atom: -2.844
Space-group type: C2/m (12)



An optimized crystal structure of UIBrF, computed with PBE-GGA.

```
4
Lattice="4.215 -0.006 -0.007 -2.088 3.661 0.007 -2.100 -1.224 8.047" Properties=species:S:1:pos:R:3 pbc="T T T"
Br -3.620 2.106 7.042
U 0.596 2.099 0.936
I 0.567 -0.330 3.158
F 2.678 0.888 0.907
```

Summary:
DOS at the Fermi energy in states/eV/cell: 4.80
Energy in eV/atom: -5.945
Space-group type: Cm (8)



Which of these has the highest energy?
number 1